# 1
Density functional theory data (PBE) for K2HgPdCl6 after structural relaxation. Values from VASP.

Structure (Quantum ESPRESSO input):
```
&SYSTEM
  ibrav = 0, nat = 10, ntyp = 4
/
ATOMIC_SPECIES
K 39.10 K.upf
Hg 200.59 Hg.upf
Pd 106.42 Pd.upf
Cl 35.45 Cl.upf
CELL_PARAMETERS angstrom
-3.7043 3.7043 5.3045
3.7043 -3.7043 5.3045
3.7043 3.7043 -5.3045
ATOMIC_POSITIONS angstrom
K 3.7043 0.0000 2.6523
K 0.0000 3.7043 2.6523
Hg 0.0000 0.0000 0.0000
Pd 0.0000 0.0000 5.3045
Cl 0.0000 0.0000 2.3896
Cl 2.0531 2.0531 0.0000
Cl 1.6512 -1.6512 5.3045
Cl -1.6512 1.6512 5.3045
Cl 1.6512 1.6512 5.3045
Cl 0.0000 0.0000 8.2194
```

## Properties
VASP energy (eV per atom): -2.962
Space group: No. 139



# 2
Density functional theory data (PBE) for K2HgPdCl6 after structural relaxation. Values from VASP.

Structure (Quantum ESPRESSO input):
```
&SYSTEM
  ibrav = 0, nat = 10, ntyp = 4
/
ATOMIC_SPECIES
K 39.10 K.upf
Hg 200.59 Hg.upf
Pd 106.42 Pd.upf
Cl 35.45 Cl.upf
CELL_PARAMETERS angstrom
0.0000 5.1186 5.1186
5.1186 0.0000 5.1186
5.1186 5.1186 0.0000
ATOMIC_POSITIONS angstrom
K 2.5593 2.5593 2.5593
K 7.6779 7.6779 7.6779
Hg 0.0000 0.0000 0.0000
Pd 5.1186 5.1186 5.1186
Cl 5.1186 5.1186 2.6709
Cl 5.1186 2.6709 5.1186
Cl 7.5663 5.1186 5.1186
Cl 2.6709 5.1186 5.1186
Cl 5.1186 7.5663 5.1186
Cl 5.1186 5.1186 7.5663
```

## Properties
VASP energy (eV per atom): -2.937
Space group: No. 225



# 3
Density functional theory data (PBE) for K2ScHgCl6 after structural relaxation. Values from VASP.

Structure (Quantum ESPRESSO input):
```
&SYSTEM
  ibrav = 0, nat = 10, ntyp = 4
/
ATOMIC_SPECIES
K 39.10 K.upf
Sc 44.96 Sc.upf
Hg 200.59 Hg.upf
Cl 35.45 Cl.upf
CELL_PARAMETERS angstrom
0.0000 5.3424 5.3424
5.3424 0.0000 5.3424
5.3424 5.3424 0.0000
ATOMIC_POSITIONS angstrom
K 2.6712 2.6712 2.6712
K 8.0137 8.0137 8.0137
Sc 0.0000 0.0000 0.0000
Hg 5.3424 5.3424 5.3424
Cl 5.3424 5.3424 2.4870
Cl 5.3424 2.4870 5.3424
Cl 8.1979 5.3424 5.3424
Cl 2.4870 5.3424 5.3424
Cl 5.3424 8.1979 5.3424
Cl 5.3424 5.3424 8.1979
```

## Properties
VASP energy (eV per atom): -3.613
Space group: No. 225



# 4
Density functional theory data (PBE) for K2SnHgCl6 after structural relaxation. Values from VASP.

Structure (Quantum ESPRESSO input):
```
&SYSTEM
  ibrav = 0, nat = 10, ntyp = 4
/
ATOMIC_SPECIES
K 39.10 K.upf
Sn 118.71 Sn.upf
Hg 200.59 Hg.upf
Cl 35.45 Cl.upf
CELL_PARAMETERS angstrom
0.0000 5.4098 5.4098
5.4098 0.0000 5.4098
5.4098 5.4098 0.0000
ATOMIC_POSITIONS angstrom
K 2.7049 2.7049 2.7049
K 8.1147 8.1147 8.1147
Sn 0.0000 0.0000 0.0000
Hg 5.4098 5.4098 5.4098
Cl 5.4098 5.4098 2.7289
Cl 5.4098 2.7289 5.4098
Cl 8.0908 5.4098 5.4098
Cl 2.7289 5.4098 5.4098
Cl 5.4098 8.0908 5.4098
Cl 5.4098 5.4098 8.0908
```

## Properties
VASP energy (eV per atom): -2.984
Space group: No. 225



# 5
Density functional theory data (PBE) for K2HgTeCl6 after structural relaxation. Values from VASP.

Structure (Quantum ESPRESSO input):
```
&SYSTEM
  ibrav = 0, nat = 10, ntyp = 4
/
ATOMIC_SPECIES
K 39.10 K.upf
Hg 200.59 Hg.upf
Te 127.60 Te.upf
Cl 35.45 Cl.upf
CELL_PARAMETERS angstrom
0.0000 5.5138 5.5138
5.5138 0.0000 5.5138
5.5138 5.5138 0.0000
ATOMIC_POSITIONS angstrom
K 2.7569 2.7569 2.7569
K 8.2707 8.2707 8.2707
Hg 0.0000 0.0000 0.0000
Te 5.5138 5.5138 5.5138
Cl 5.5138 5.5138 2.9031
Cl 5.5138 2.9031 5.5138
Cl 8.1245 5.5138 5.5138
Cl 2.9031 5.5138 5.5138
Cl 5.5138 8.1245 5.5138
Cl 5.5138 5.5138 8.1245
```

## Properties
VASP energy (eV per atom): -2.700
Space group: No. 225



# 6
Density functional theory data (PBE) for K2TlHgCl6 after structural relaxation. Values from VASP.

Structure (Quantum ESPRESSO input):
```
&SYSTEM
  ibrav = 0, nat = 10, ntyp = 4
/
ATOMIC_SPECIES
K 39.10 K.upf
Tl 204.38 Tl.upf
Hg 200.59 Hg.upf
Cl 35.45 Cl.upf
CELL_PARAMETERS angstrom
0.0000 5.3911 5.3911
5.3911 0.0000 5.3911
5.3911 5.3911 0.0000
ATOMIC_POSITIONS angstrom
K 2.6956 2.6956 2.6956
K 8.0867 8.0867 8.0867
Tl 0.0000 0.0000 0.0000
Hg 5.3911 5.3911 5.3911
Cl 5.3911 5.3911 2.7316
Cl 5.3911 2.7316 5.3911
Cl 8.0506 5.3911 5.3911
Cl 2.7316 5.3911 5.3911
Cl 5.3911 8.0506 5.3911
Cl 5.3911 5.3911 8.0506
```

## Properties
VASP energy (eV per atom): -2.744
Space group: No. 225



# 7
Density functional theory data (PBE) for Li2HgCl4 after structural relaxation. Values from VASP.

Structure (Quantum ESPRESSO input):
```
&SYSTEM
  ibrav = 0, nat = 7, ntyp = 3
/
ATOMIC_SPECIES
Li 6.94 Li.upf
Hg 200.59 Hg.upf
Cl 35.45 Cl.upf
CELL_PARAMETERS angstrom
-2.8023 2.8023 5.5952
2.8023 -2.8023 5.5952
2.8023 2.8023 -5.5952
ATOMIC_POSITIONS angstrom
Li 0.0000 0.0000 0.0000
Li 0.0000 2.8023 2.7976
Hg 0.0000 0.0000 5.5952
Cl 1.3537 1.2945 -1.4487
Cl 1.5078 -1.4486 7.0439
Cl 1.4486 1.5078 4.1465
Cl 1.2945 4.2510 1.4487
```

## Properties
VASP energy (eV per atom): -2.922
Space group: No. 82



# 8
Density functional theory data (PBE) for Rb2LiHgCl6 after structural relaxation. Values from VASP.

Structure (Quantum ESPRESSO input):
```
&SYSTEM
  ibrav = 0, nat = 10, ntyp = 4
/
ATOMIC_SPECIES
Rb 85.47 Rb.upf
Li 6.94 Li.upf
Hg 200.59 Hg.upf
Cl 35.45 Cl.upf
CELL_PARAMETERS angstrom
6.2602 -3.6151 0.0000
6.2602 3.6151 0.0000
-4.1726 0.0000 5.9037
ATOMIC_POSITIONS angstrom
Rb 2.0849 0.0000 1.4752
Rb 6.2629 0.0000 4.4285
Li -2.0863 0.0000 2.9518
Hg 6.2602 0.0000 0.0000
Cl 3.1339 1.8357 4.3926
Cl -0.0485 0.0000 4.4238
Cl 5.2139 1.8357 1.5110
Cl 3.1339 -1.8357 4.3926
Cl 8.3964 0.0000 1.4799
Cl 5.2139 -1.8357 1.5110
```

## Properties
VASP energy (eV per atom): -2.774
Space group: No. 12



# 9
Density functional theory data (PBE) for Rb2LiHgCl6 after structural relaxation. Values from VASP.

Structure (Quantum ESPRESSO input):
```
&SYSTEM
  ibrav = 0, nat = 10, ntyp = 4
/
ATOMIC_SPECIES
Rb 85.47 Rb.upf
Li 6.94 Li.upf
Hg 200.59 Hg.upf
Cl 35.45 Cl.upf
CELL_PARAMETERS angstrom
-3.6142 3.6142 5.1147
3.6142 -3.6142 5.1147
3.6142 3.6142 -5.1147
ATOMIC_POSITIONS angstrom
Rb 3.6142 0.0000 2.5573
Rb 0.0000 3.6142 2.5573
Li 0.0000 0.0000 0.0000
Hg 0.0000 0.0000 5.1147
Cl 5.4237 1.7503 0.0000
Cl 0.0000 0.0000 2.5156
Cl 1.7503 1.8047 0.0000
Cl 1.8639 1.8095 5.1147
Cl 0.0000 0.0000 7.7138
Cl -1.8095 1.8639 5.1147
```

## Properties
VASP energy (eV per atom): -2.774
Space group: No. 87



# 10
Density functional theory data (PBE) for MgTl2HgCl6 after structural relaxation. Values from VASP.

Structure (Quantum ESPRESSO input):
```
&SYSTEM
  ibrav = 0, nat = 10, ntyp = 4
/
ATOMIC_SPECIES
Mg 24.30 Mg.upf
Tl 204.38 Tl.upf
Hg 200.59 Hg.upf
Cl 35.45 Cl.upf
CELL_PARAMETERS angstrom
0.0000 5.1378 5.1378
5.1378 0.0000 5.1378
5.1378 5.1378 0.0000
ATOMIC_POSITIONS angstrom
Mg 0.0000 0.0000 0.0000
Tl 2.5689 2.5689 2.5689
Tl 7.7067 7.7067 7.7067
Hg 5.1378 5.1378 5.1378
Cl 5.1378 5.1378 2.4821
Cl 5.1378 2.4821 5.1378
Cl 7.7936 5.1378 5.1378
Cl 2.4821 5.1378 5.1378
Cl 5.1378 7.7936 5.1378
Cl 5.1378 5.1378 7.7936
```

## Properties
VASP energy (eV per atom): -2.856
Space group: No. 225



# 11
Density functional theory data (PBE) for HgS4N3Cl3 after structural relaxation. Values from VASP.

Structure (Quantum ESPRESSO input):
```
&SYSTEM
  ibrav = 0, nat = 44, ntyp = 4
/
ATOMIC_SPECIES
Hg 200.59 Hg.upf
S 32.06 S.upf
N 14.01 N.upf
Cl 35.45 Cl.upf
CELL_PARAMETERS angstrom
6.2473 0.0000 0.0000
0.0000 17.3504 0.0000
-3.1330 0.0000 9.2824
ATOMIC_POSITIONS angstrom
Hg -0.0760 1.1999 4.0264
Hg -1.6425 7.4753 8.6676
Hg 4.7569 9.8751 0.6148
Hg 3.1904 16.1505 5.2560
S -1.6808 11.7359 6.2996
S -0.1143 14.2896 1.6584
S 0.0279 9.4729 5.5296
S 1.5944 16.5527 0.8884
S 2.0728 12.7080 0.2903
S 0.5063 13.3176 4.9315
S 2.9593 3.0115 0.3014
S 1.3928 5.6637 4.9426
S 1.7215 11.6867 4.3398
S 0.1551 14.3389 8.9810
S 2.6081 4.0328 4.3509
S 1.0416 4.6424 8.9921
S 1.5200 0.7977 8.3940
S 3.0865 7.8775 3.7528
S 3.2287 3.0607 7.6240
S 4.7951 5.6145 2.9828
N -1.2167 10.2272 6.1555
N 0.3497 15.7984 1.5143
N -0.7856 12.8315 5.6737
N 0.7809 13.1940 1.0325
N 1.1212 10.3146 4.8240
N 2.6876 15.7110 0.1828
N 0.4267 1.6394 9.0996
N 1.9932 7.0358 4.4584
N 2.3335 4.1564 8.2499
N 3.9000 4.5188 3.6087
N 2.7646 1.5520 7.7681
N 4.3311 7.1232 3.1269
Cl 0.0564 2.2635 1.8938
Cl -1.5101 6.4117 6.5351
Cl 1.5060 9.4337 0.8209
Cl -0.0604 16.5918 5.4621
Cl 0.2061 3.1275 5.7778
Cl 1.7726 5.5477 1.1366
Cl 1.3417 11.8027 8.1458
Cl 2.9082 14.2229 3.5046
Cl 3.1748 0.7585 3.8203
Cl 1.6083 7.9167 8.4615
Cl 4.6244 10.9387 2.7474
Cl 3.0579 15.0869 7.3886
```

## Properties
VASP energy (eV per atom): -4.231
Space group: No. 14



# 12
Density functional theory data (PBE) for NaZrHg2Cl6 after structural relaxation. Values from VASP.

Structure (Quantum ESPRESSO input):
```
&SYSTEM
  ibrav = 0, nat = 10, ntyp = 4
/
ATOMIC_SPECIES
Na 22.99 Na.upf
Zr 91.22 Zr.upf
Hg 200.59 Hg.upf
Cl 35.45 Cl.upf
CELL_PARAMETERS angstrom
0.0000 5.2220 5.2220
5.2220 0.0000 5.2220
5.2220 5.2220 0.0000
ATOMIC_POSITIONS angstrom
Na 0.0000 0.0000 0.0000
Zr 5.2220 5.2220 5.2220
Hg 2.6110 2.6110 2.6110
Hg 7.8329 7.8329 7.8329
Cl 5.2220 5.2220 2.7447
Cl 5.2220 2.7447 5.2220
Cl 7.6992 5.2220 5.2220
Cl 2.7447 5.2220 5.2220
Cl 5.2220 7.6992 5.2220
Cl 5.2220 5.2220 7.6992
```

## Properties
VASP energy (eV per atom): -3.374
Space group: No. 225